Entry 1:
Mg17Zn11Ag after structural relaxation. Source: Alexandria, functional GGA-PBE.

a = 8.741 Å, b = 8.741 Å, c = 9.115 Å
α = 109.20°, β = 109.20°, γ = 108.31°
Element x y z (fractional)
Mg  0.000  0.000  0.000
Mg  0.014  0.616  0.010
Mg  0.023  0.023  0.627
Mg  0.048  0.732  0.729
Mg  0.329  0.329  0.655
Mg  0.329  0.684  0.328
Mg  0.334  0.644  0.933
Mg  0.334  0.937  0.647
Mg  0.336  0.336  0.326
Mg  0.616  0.014  0.010
Mg  0.644  0.334  0.933
Mg  0.657  0.930  0.330
Mg  0.684  0.329  0.328
Mg  0.726  0.726  0.033
Mg  0.732  0.048  0.729
Mg  0.930  0.657  0.330
Mg  0.937  0.334  0.647
Zn  0.140  0.331  0.964
Zn  0.148  0.519  0.508
Zn  0.152  0.966  0.329
Zn  0.331  0.140  0.964
Zn  0.339  0.966  0.148
Zn  0.507  0.699  0.693
Zn  0.519  0.148  0.508
Zn  0.698  0.698  0.515
Zn  0.699  0.507  0.693
Zn  0.966  0.152  0.329
Zn  0.966  0.339  0.148
Ag  0.523  0.523  0.160

Output
- DOS at the Fermi energy (states/eV per cell) = 8.24
- space group = Cm
- total moment (μB/f.u.) = 0.00
- V (Å³/cell) = 547
- calculated total energy (eV/atom) = -1.591

Entry 2:
Ag5AsSe4 after structural relaxation. Source: Alexandria, functional GGA-PBE.

a = 4.757 Å, b = 6.881 Å, c = 8.330 Å
α = 89.78°, β = 86.57°, γ = 73.68°
Element x y z (fractional)
Ag  0.000  0.000  0.000
Ag  0.015  0.438  0.640
Ag  0.082  0.879  0.644
Ag  0.615  0.787  0.850
Ag  0.775  0.069  0.351
As  0.250  0.470  0.127
Se  0.192  0.249  0.351
Se  0.263  0.251  0.891
Se  0.628  0.776  0.547
Se  0.778  0.737  0.136

Output
- space group = P1
- total moment (μB/f.u.) = 0.00
- energy above the lowest structure with this stoichiometry (meV per atom) = 0
- V (Å³/cell) = 261